A plane-wave DFT calculation with PBE was carried out for a relaxed LaTe2Ir crystal.

Properties
The total magnetization is 0.0 μB per cell. The formation energy (no corrections) comes out at -338 meV/atom.

abc: 5.9562 10.0858 4.6782
angles: 90.00 129.38 90.00
With the nearest neighbours (Å) after each atom.
Space group C2/m (No. 12)
Asymmetric unit:
La 0.0000 0.0000 0.0000  2 Ir 2.98, 4 Te 3.10
Te 0.2500 0.2500 0.5000  2 Te 2.98, 2 La 3.10, 2 Ir 3.10
Ir 0.0000 0.5000 0.0000  2 La 2.98, 4 Te 3.10